Record 1
First-principles (GGA-PBE) data for a geometry-optimized SrLiMg2Cr structure, as listed in Alexandria via LeMat-Bulk.

Results
SG: P4/mmm
Formation energy, eV/atom: 0.838

Geometry as CIF:
```
data_SrLiMg2Cr
_chemical_formula_sum 'Sr1 Li1 Mg2 Cr1'
_cell_length_a 5.251
_cell_length_b 5.251
_cell_length_c 5.313
_cell_angle_alpha 90.00
_cell_angle_beta 90.00
_cell_angle_gamma 90.00
_symmetry_space_group_name_H-M 'P 1'
_symmetry_Int_Tables_number 1
_symmetry_space_group_name_Hall 'P 1'
loop_
_atom_site_label
_atom_site_fract_x
_atom_site_fract_y
_atom_site_fract_z
Sr1 0.000 0.000 0.000
Li1 0.500 0.500 0.000
Mg1 0.000 0.500 0.500
Mg2 0.500 0.000 0.500
Cr1 0.000 0.000 0.500
```

***

Record 2
First-principles (GGA-PBE) data for a geometry-optimized Pr2NdHg structure, as listed in Alexandria via LeMat-Bulk.

Results
SG: P4/mmm
Formation energy, eV/atom: -0.174

Geometry as CIF:
```
data_Pr2NdHg
_chemical_formula_sum 'Pr2 Nd1 Hg1'
_cell_length_a 4.980
_cell_length_b 4.980
_cell_length_c 4.976
_cell_angle_alpha 90.00
_cell_angle_beta 90.00
_cell_angle_gamma 90.00
_symmetry_space_group_name_H-M 'P 1'
_symmetry_Int_Tables_number 1
_symmetry_space_group_name_Hall 'P 1'
loop_
_atom_site_label
_atom_site_fract_x
_atom_site_fract_y
_atom_site_fract_z
Pr1 0.000 0.500 0.000
Pr2 0.500 0.000 0.000
Nd1 0.000 0.000 0.500
Hg1 0.500 0.500 0.500
```

***

Record 3
First-principles (GGA-PBE) data for a geometry-optimized AcGaPd3Au structure, as listed in Alexandria via LeMat-Bulk.

Results
SG: Cmcm
Formation energy, eV/atom: -0.498

Geometry as CIF:
```
data_AcGaPd3Au
_chemical_formula_sum 'Ac2 Ga2 Pd6 Au2'
_cell_length_a 7.086
_cell_length_b 7.086
_cell_length_c 5.992
_cell_angle_alpha 90.00
_cell_angle_beta 90.00
_cell_angle_gamma 119.45
_symmetry_space_group_name_H-M 'P 1'
_symmetry_Int_Tables_number 1
_symmetry_space_group_name_Hall 'P 1'
loop_
_atom_site_label
_atom_site_fract_x
_atom_site_fract_y
_atom_site_fract_z
Ac1 0.207 0.793 0.750
Ac2 0.793 0.207 0.250
Ga1 0.121 0.879 0.250
Ga2 0.879 0.121 0.750
Pd1 0.197 0.197 0.000
Pd2 0.197 0.197 0.500
Pd3 0.322 0.678 0.250
Pd4 0.678 0.322 0.750
Pd5 0.803 0.803 0.000
Pd6 0.803 0.803 0.500
Au1 0.450 0.550 0.750
Au2 0.550 0.450 0.250
```

***

Record 4
First-principles (GGA-PBE) data for a geometry-optimized PuTe3 structure, as listed in Alexandria via LeMat-Bulk.

Results
SG: Imm2
Formation energy from raw total energies, eV per formula unit: -2.16

Geometry as CIF:
```
data_PuTe3
_chemical_formula_sum 'Pu1 Te3'
_cell_length_a 6.074
_cell_length_b 6.074
_cell_length_c 6.074
_cell_angle_alpha 138.83
_cell_angle_beta 74.60
_cell_angle_gamma 120.85
_symmetry_space_group_name_H-M 'P 1'
_symmetry_Int_Tables_number 1
_symmetry_space_group_name_Hall 'P 1'
loop_
_atom_site_label
_atom_site_fract_x
_atom_site_fract_y
_atom_site_fract_z
Pu1 0.000 0.000 0.000
Te1 0.054 0.752 0.302
Te2 0.449 0.752 0.698
Te3 0.623 0.123 0.500
```

***

Record 5
First-principles (GGA-PBE) data for a geometry-optimized Na6AgAu structure, as listed in Alexandria via LeMat-Bulk.

Results
SG: P-1
Formation energy, eV/atom: -0.004

Geometry as CIF:
```
data_Na6AgAu
_chemical_formula_sum 'Na6 Ag1 Au1'
_cell_length_a 6.988
_cell_length_b 6.991
_cell_length_c 7.590
_cell_angle_alpha 90.45
_cell_angle_beta 117.13
_cell_angle_gamma 119.51
_symmetry_space_group_name_H-M 'P 1'
_symmetry_Int_Tables_number 1
_symmetry_space_group_name_Hall 'P 1'
loop_
_atom_site_label
_atom_site_fract_x
_atom_site_fract_y
_atom_site_fract_z
Na1 0.008 0.062 0.251
Na2 0.303 0.744 0.251
Na3 0.305 0.549 0.750
Na4 0.695 0.451 0.250
Na5 0.697 0.256 0.749
Na6 0.992 0.938 0.749
Ag1 0.500 0.000 0.000
Au1 0.500 0.500 0.500
```

***

Record 6
First-principles (GGA-PBE) data for a geometry-optimized Ac2AlIn8 structure, as listed in Alexandria via LeMat-Bulk.

Results
SG: P4/mmm
Formation energy, eV/atom: -0.260

Geometry as CIF:
```
data_Ac2AlIn8
_chemical_formula_sum 'Ac2 Al1 In8'
_cell_length_a 4.960
_cell_length_b 4.960
_cell_length_c 12.791
_cell_angle_alpha 90.00
_cell_angle_beta 90.00
_cell_angle_gamma 90.00
_symmetry_space_group_name_H-M 'P 1'
_symmetry_Int_Tables_number 1
_symmetry_space_group_name_Hall 'P 1'
loop_
_atom_site_label
_atom_site_fract_x
_atom_site_fract_y
_atom_site_fract_z
Ac1 0.000 0.000 0.193
Ac2 0.000 0.000 0.807
Al1 0.000 0.000 0.500
In1 0.000 0.500 0.000
In2 0.000 0.500 0.377
In3 0.000 0.500 0.623
In4 0.500 0.000 0.000
In5 0.500 0.000 0.377
In6 0.500 0.000 0.623
In7 0.500 0.500 0.185
In8 0.500 0.500 0.815
```